# 1
This record from Alexandria describes crystalline P2PbSeO at its relaxed geometry. The functional is GGA-PBE.

It has space group P4/mmm (No. 123), with a = 5.361 Å, b = 5.361 Å, c = 4.148 Å, α = 90.00°, β = 90.00° and γ = 90.00°. The distinct sites, in fractional coordinates, are P at (0.000, 0.500, 0.000), Pb at (0.000, 0.000, 0.000), Se at (0.500, 0.500, 0.500) and O at (0.000, 0.000, 0.500).

The energy relative to the elements, uncorrected comes out at 0.915 eV/atom. Its relative energy among the computed polymorphs is 0.459 eV per atom. The total magnetization is 1.064 Bohr magnetons per cell.

---

# 2
This record from Alexandria describes crystalline P2PbSeO at its relaxed geometry. The functional is GGA-PBE.

It has space group P4/mmm (No. 123), with a = 5.439 Å, b = 5.439 Å, c = 3.834 Å, α = 90.00°, β = 90.00° and γ = 90.00°. The distinct sites, in fractional coordinates, are P at (0.000, 0.500, 0.000), Pb at (0.000, 0.000, 0.500), Se at (0.500, 0.500, 0.000) and O at (0.500, 0.500, 0.500).

The energy relative to the elements, uncorrected comes out at 0.456 eV/atom. Its relative energy among the computed polymorphs is 0.000 eV per atom. The total magnetization is 0.000 Bohr magnetons per cell.

---

# 3
This record from Alexandria describes crystalline PPbSeO2 at its relaxed geometry. The functional is GGA-PBE.

It has space group P4/mmm (No. 123), with a = 4.019 Å, b = 4.019 Å, c = 6.822 Å, α = 90.00°, β = 90.00° and γ = 90.00°. The distinct sites, in fractional coordinates, are P at (0.000, 0.000, 0.000), Pb at (0.000, 0.000, 0.500), Se at (0.500, 0.500, 0.000) and O at (0.000, 0.500, 0.500).

The energy relative to the elements, uncorrected comes out at 0.350 eV/atom. Its relative energy among the computed polymorphs is 0.438 eV per atom. The total magnetization is 0.417 Bohr magnetons per cell.